Record 1
Density functional theory data (PBE) for a relaxed structure of Ge3BSe.

abc: 5.141 5.141 5.141
angles: 90.00 90.00 90.00
Space group Pm-3m (No. 221)
Asymmetric unit:
Ge (0.000, 0.000, 0.500) (multiplicity 3)
B (0.500, 0.500, 0.500) (multiplicity 1)
Se (0.000, 0.000, 0.000) (multiplicity 1)

## Properties
density: 3.8 g/cm3
crystal system: cubic
relative energy among the computed polymorphs: 1.021 eV/atom

***

Record 2
Density functional theory data (PBE) for a relaxed structure of Ge3BSe.

abc: 4.487 4.487 4.487
angles: 90.00 90.00 90.00
Space group Pm-3m (No. 221)
Asymmetric unit:
Ge (0.000, 0.000, 0.500) (multiplicity 3)
B (0.000, 0.000, 0.000) (multiplicity 1)
Se (0.500, 0.500, 0.500) (multiplicity 1)

## Properties
density: 5.7 g/cm3
crystal system: cubic
relative energy among the computed polymorphs: 0.000 eV/atom

***

Record 3
Density functional theory data (PBE) for a relaxed structure of GeB3Se.

abc: 4.200 4.200 4.200
angles: 90.00 90.00 90.00
Space group Pm-3m (No. 221)
Asymmetric unit:
Ge (0.000, 0.000, 0.000) (multiplicity 1)
B (0.000, 0.000, 0.500) (multiplicity 3)
Se (0.500, 0.500, 0.500) (multiplicity 1)

## Properties
density: 4.1 g/cm3
crystal system: cubic
relative energy among the computed polymorphs: 0.000 eV/atom

***

Record 4
Density functional theory data (PBE) for a relaxed structure of Ge2BSe.

abc: 6.482 6.482 6.482
angles: 90.00 90.00 90.00
Space group Fm-3m (No. 225)
Asymmetric unit:
Ge (0.250, 0.250, 0.250) (multiplicity 8)
B (0.000, 0.000, 0.000) (multiplicity 4)
Se (0.000, 0.000, 0.500) (multiplicity 4)

## Properties
density: 5.7 g/cm3
crystal system: cubic
relative energy among the computed polymorphs: 0.832 eV/atom

***

Record 5
Density functional theory data (PBE) for a relaxed structure of GeB2Se6.

abc: 12.728 11.715 6.061
angles: 90.00 111.77 90.00
Space group C2/c (No. 15)
Asymmetric unit:
Ge (0.000, 0.216, 0.250) (multiplicity 4)
B (0.244, 0.427, 0.381) (multiplicity 8)
Se (0.095, 0.100, 0.598) (multiplicity 8)
Se (0.155, 0.298, 0.152) (multiplicity 8)
Se (0.190, 0.429, 0.663) (multiplicity 8)

## Properties
density: 4.5 g/cm3
crystal system: monoclinic

***

Record 6
Density functional theory data (PBE) for a relaxed structure of Ge2BSe.

abc: 5.515 5.515 10.069
angles: 90.00 90.00 90.00
Space group I-42d (No. 122)
Asymmetric unit:
Ge (0.162, 0.250, 0.125) (multiplicity 8)
B (0.000, 0.000, 0.000) (multiplicity 4)
Se (0.000, 0.000, 0.500) (multiplicity 4)

## Properties
density: 5.1 g/cm3
crystal system: tetragonal
relative energy among the computed polymorphs: 0.000 eV/atom

***

Record 7
Density functional theory data (PBE) for a relaxed structure of GeBSe.

abc: 6.161 6.671 5.868
angles: 90.00 116.10 90.00
Space group P2_1/c (No. 14)
Asymmetric unit:
Ge (0.139, 0.149, 0.478) (multiplicity 4)
B (0.136, 0.678, 0.858) (multiplicity 4)
Se (0.319, 0.619, 0.643) (multiplicity 4)

## Properties
density: 5.0 g/cm3
crystal system: monoclinic

***

Record 8
Density functional theory data (PBE) for a relaxed structure of Tl2GeBSe4.

abc: 6.060 13.352 22.397
angles: 90.00 90.00 90.00
Space group Fddd (No. 70, origin choice 2)
Asymmetric unit:
Tl (0.125, 0.125, 0.305) (multiplicity 16)
Ge (0.125, 0.125, 0.625) (multiplicity 8)
B (0.125, 0.125, 0.125) (multiplicity 8)
Se (0.074, 0.284, 0.429) (multiplicity 32)

## Properties
density: 5.9 g/cm3
crystal system: orthorhombic

***

Record 9
Density functional theory data (PBE) for a relaxed structure of Zr2GeBSe.

abc: 5.072 5.072 4.729
angles: 90.00 90.00 90.00
Space group P4/mmm (No. 123)
Asymmetric unit:
Zr (0.000, 0.500, 0.000) (multiplicity 2)
Ge (0.000, 0.000, 0.000) (multiplicity 1)
B (0.500, 0.500, 0.500) (multiplicity 1)
Se (0.000, 0.000, 0.500) (multiplicity 1)

## Properties
density: 4.7 g/cm3
crystal system: tetragonal

***

Record 10
Density functional theory data (PBE) for a relaxed structure of SiGeB3.

abc: 4.021 4.021 4.021
angles: 90.00 90.00 90.00
Space group Pm-3m (No. 221)
Asymmetric unit:
Si (0.000, 0.000, 0.000) (multiplicity 1)
Ge (0.500, 0.500, 0.500) (multiplicity 1)
B (0.000, 0.000, 0.500) (multiplicity 3)

## Properties
density: 3.4 g/cm3
crystal system: cubic
relative energy among the computed polymorphs: 0.000 eV/atom

***

Record 11
Density functional theory data (PBE) for a relaxed structure of SiGe3B.

abc: 4.381 4.381 4.381
angles: 90.00 90.00 90.00
Space group Pm-3m (No. 221)
Asymmetric unit:
Si (0.000, 0.000, 0.000) (multiplicity 1)
Ge (0.000, 0.500, 0.500) (multiplicity 3)
B (0.500, 0.500, 0.500) (multiplicity 1)

## Properties
density: 5.1 g/cm3
crystal system: cubic
relative energy among the computed polymorphs: 0.000 eV/atom

***

Record 12
Density functional theory data (PBE) for a relaxed structure of SiGe2B.

abc: 5.264 5.264 10.195
angles: 90.00 90.00 90.00
Space group I-42d (No. 122)
Asymmetric unit:
Si (0.000, 0.000, 0.000) (multiplicity 4)
Ge (0.198, 0.250, 0.625) (multiplicity 8)
B (0.000, 0.000, 0.500) (multiplicity 4)

## Properties
density: 4.3 g/cm3
crystal system: tetragonal
relative energy among the computed polymorphs: 0.000 eV/atom

***

Number 1: uncorrected energy -3.207 eV/atom, V 135.91 Å³/cell, raw formation energy 1.596 eV per atom. Number 2: uncorrected energy -4.227 eV/atom, V 90.34 Å³/cell, raw formation energy 0.575 eV per atom. Number 3: uncorrected energy -3.852 eV/atom, V 74.10 Å³/cell, raw formation energy 1.775 eV per atom. Number 4: uncorrected energy -3.834 eV/atom, V 272.36 Å³/cell, raw formation energy 1.015 eV per atom. Number 5: uncorrected energy -4.333 eV/atom, V 839.23 Å³/cell, raw formation energy -0.013 eV per atom. Number 6: uncorrected energy -4.666 eV/atom, V 306.27 Å³/cell, raw formation energy 0.183 eV per atom. Number 7: uncorrected energy -4.582 eV/atom, V 216.59 Å³/cell, raw formation energy 0.344 eV per atom. Number 8: uncorrected energy -3.979 eV/atom, V 1812.18 Å³/cell, raw formation energy -0.234 eV per atom. Number 9: uncorrected energy -5.150 eV/atom, V 121.65 Å³/cell, raw formation energy 1.225 eV per atom. Number 10: uncorrected energy -4.451 eV/atom, V 65.01 Å³/cell, raw formation energy 1.564 eV per atom. Number 11: uncorrected energy -4.439 eV/atom, V 84.07 Å³/cell, raw formation energy 0.752 eV per atom. Number 12: uncorrected energy -5.057 eV/atom, V 282.48 Å³/cell, raw formation energy 0.277 eV per atom.